The following is a DFT calculation (GGA-PBE) of Cd3In6Sn after structural relaxation.

POSCAR file:
```
Cd3In6Sn
1.0
-0.208 -4.893 -3.993
1.069 -5.961 7.250
-9.281 1.334 -1.151
Cd In Sn
6 12 2
direct
0.419 0.989 0.746
0.919 0.746 0.989
0.239 0.448 0.552
0.739 0.552 0.448
0.919 0.011 0.254
0.419 0.254 0.011
0.072 0.752 0.686
0.572 0.686 0.752
0.322 0.557 0.970
0.822 0.970 0.557
0.369 0.933 0.067
0.636 0.316 0.684
0.136 0.684 0.316
0.869 0.067 0.933
0.322 0.030 0.443
0.822 0.443 0.030
0.072 0.314 0.248
0.572 0.248 0.314
0.114 0.255 0.745
0.614 0.745 0.255
```

E_form ... 0.497 eV/f.u.
M_tot ... 0.000 μB per formula unit
Offset from the most stable computed form ... 15 meV per atom
Fermi-level density of states ... 6.112 states/eV/cell